Model a:
Here is crystalline Ac3Ga3Pd8 at its relaxed geometry from Alexandria. Energies are from PBE-GGA.

Unit cell a=4.457 b=8.531 c=8.863 alpha=64.38 beta=75.44 gamma=74.86
Atoms (fractional coordinates):
Ac 0.295 0.744 0.665
Ac 0.705 0.256 0.335
Ac 0.000 0.000 0.000
Ga 0.000 0.500 0.500
Ga 0.675 0.650 0.999
Ga 0.325 0.350 0.001
Pd 0.110 0.166 0.614
Pd 0.890 0.834 0.386
Pd 0.870 0.427 0.832
Pd 0.130 0.573 0.168
Pd 0.508 0.663 0.321
Pd 0.492 0.337 0.679
Pd 0.355 0.044 0.246
Pd 0.645 0.956 0.754

Properties
Space group: No. 12
Total magnetic moment, Bohr magnetons per cell: 0.000
Density of states at the Fermi level, states/eV/f.u.: 5.2

Model b:
Here is crystalline Ac3Ga3Pd8 at its relaxed geometry from Alexandria. Energies are from PBE-GGA.

Unit cell a=4.485 b=8.558 c=8.558 alpha=69.74 beta=74.81 gamma=74.81
Atoms (fractional coordinates):
Ac 0.500 0.500 0.500
Ac 0.797 0.203 0.203
Ac 0.203 0.797 0.797
Ga 0.500 0.000 0.000
Ga 0.000 0.768 0.232
Ga 0.000 0.232 0.768
Pd 0.611 0.094 0.684
Pd 0.389 0.906 0.316
Pd 0.611 0.684 0.094
Pd 0.389 0.316 0.906
Pd 0.825 0.824 0.525
Pd 0.175 0.176 0.475
Pd 0.825 0.525 0.824
Pd 0.175 0.475 0.176

Properties
Space group: No. 71
Total magnetic moment, Bohr magnetons per cell: 0.000
Density of states at the Fermi level, states/eV/f.u.: 7.8

Q: Which of them is the least stable? A: model b.

Model a:
Here is crystalline Ac3GaPd3 at its relaxed geometry from Alexandria. Energies are from PBE-GGA.

Unit cell a=6.135 b=9.100 c=9.100 alpha=120.00 beta=90.00 gamma=90.00
Atoms (fractional coordinates):
Ac 0.750 0.696 0.640
Ac 0.750 0.360 0.056
Ac 0.750 0.944 0.304
Ac 0.250 0.304 0.360
Ac 0.250 0.640 0.944
Ac 0.250 0.056 0.696
Ga 0.250 0.667 0.333
Ga 0.750 0.333 0.667
Pd 0.250 0.687 0.623
Pd 0.250 0.377 0.064
Pd 0.250 0.936 0.313
Pd 0.750 0.313 0.377
Pd 0.750 0.623 0.936
Pd 0.750 0.064 0.687

Properties
Space group: No. 176
Total magnetic moment, Bohr magnetons per cell: 0.000
Density of states at the Fermi level, states/eV/f.u.: 5.1

Model b:
Here is crystalline Ac3GaPd3 at its relaxed geometry from Alexandria. Energies are from PBE-GGA.

Unit cell a=4.315 b=6.357 c=14.748 alpha=85.48 beta=81.59 gamma=70.16
Atoms (fractional coordinates):
Ac 0.531 0.324 0.614
Ac 0.469 0.676 0.386
Ac 0.260 0.249 0.231
Ac 0.740 0.751 0.769
Ac 0.401 0.276 0.923
Ac 0.599 0.724 0.077
Ga 0.755 0.086 0.405
Ga 0.245 0.914 0.595
Pd 0.865 0.724 0.545
Pd 0.135 0.276 0.455
Pd 0.123 0.830 0.925
Pd 0.877 0.170 0.075
Pd 0.958 0.846 0.238
Pd 0.042 0.154 0.762

Properties
Space group: No. 12
Total magnetic moment, Bohr magnetons per cell: 0.000
Density of states at the Fermi level, states/eV/f.u.: 4.3

Q: Which of them is the least stable? A: model a.

Model a:
Here is crystalline Ac2Ga3Pd5 at its relaxed geometry from Alexandria. Energies are from PBE-GGA.

Unit cell a=6.116 b=8.789 c=8.789 alpha=76.80 beta=69.64 gamma=69.64
Atoms (fractional coordinates):
Ac 0.134 0.597 0.136
Ac 0.634 0.136 0.597
Ac 0.866 0.403 0.864
Ac 0.366 0.864 0.403
Ga 0.359 0.544 0.738
Ga 0.859 0.738 0.544
Ga 0.641 0.456 0.262
Ga 0.141 0.262 0.456
Ga 0.250 0.000 0.000
Ga 0.750 0.000 0.000
Pd 0.400 0.273 0.927
Pd 0.900 0.927 0.273
Pd 0.600 0.727 0.073
Pd 0.100 0.073 0.727
Pd 0.466 0.784 0.784
Pd 0.534 0.216 0.216
Pd 0.750 0.500 0.500
Pd 0.250 0.500 0.500
Pd 0.034 0.216 0.216
Pd 0.966 0.784 0.784

Properties
Space group: No. 72
Total magnetic moment, Bohr magnetons per cell: 0.000
Density of states at the Fermi level, states/eV/f.u.: 5.8

Model b:
Here is crystalline Ac2Ga3Pd5 at its relaxed geometry from Alexandria. Energies are from PBE-GGA.

Unit cell a=4.357 b=7.450 c=13.119 alpha=90.00 beta=99.56 gamma=90.00
Atoms (fractional coordinates):
Ac 0.453 0.651 0.906
Ac 0.166 0.836 0.333
Ac 0.834 0.336 0.667
Ac 0.547 0.151 0.094
Ga 0.770 0.894 0.540
Ga 0.638 0.449 0.276
Ga 0.035 0.817 0.070
Ga 0.230 0.394 0.460
Ga 0.965 0.317 0.930
Ga 0.362 0.949 0.724
Pd 0.420 0.225 0.840
Pd 0.293 0.678 0.586
Pd 0.707 0.178 0.414
Pd 0.139 0.255 0.278
Pd 0.272 0.082 0.544
Pd 0.947 0.978 0.895
Pd 0.728 0.582 0.456
Pd 0.861 0.755 0.722
Pd 0.053 0.478 0.105
Pd 0.580 0.725 0.160

Properties
Space group: No. 36
Total magnetic moment, Bohr magnetons per cell: 0.000
Density of states at the Fermi level, states/eV/f.u.: 5.2

Q: Which of them is the least stable? A: model b.

Model a:
Here is crystalline Ac2GaPd4 at its relaxed geometry from Alexandria. Energies are from PBE-GGA.

Unit cell a=4.133 b=5.133 c=7.682 alpha=93.12 beta=90.00 gamma=90.00
Atoms (fractional coordinates):
Ac 0.500 0.239 0.319
Ac 0.500 0.761 0.681
Pd 0.500 0.756 0.090
Pd 0.000 0.732 0.355
Pd 0.500 0.244 0.910
Pd 0.000 0.268 0.645
Ga 0.000 0.500 0.000

Properties
Space group: No. 10
Total magnetic moment, Bohr magnetons per cell: 0.000
Density of states at the Fermi level, states/eV/f.u.: 4.3

Model b:
Here is crystalline Ac2GaPd4 at its relaxed geometry from Alexandria. Energies are from PBE-GGA.

Unit cell a=4.751 b=4.751 c=8.481 alpha=106.27 beta=106.27 gamma=90.00
Atoms (fractional coordinates):
Ac 0.646 0.646 0.291
Ac 0.354 0.354 0.709
Ga 0.000 0.000 0.000
Pd 0.841 0.841 0.683
Pd 0.159 0.159 0.317
Pd 0.000 0.500 0.000
Pd 0.500 0.000 0.000

Properties
Space group: No. 139
Total magnetic moment, Bohr magnetons per cell: 0.000
Density of states at the Fermi level, states/eV/f.u.: 3.6

Q: Which of them is the least stable? A: model b.

Model a:
Here is crystalline AcGa4Pd2 at its relaxed geometry from Alexandria. Energies are from PBE-GGA.

Unit cell a=4.503 b=4.527 c=7.309 alpha=108.04 beta=90.00 gamma=90.00
Atoms (fractional coordinates):
Ac 0.000 0.000 0.000
Ga 0.500 0.813 0.627
Ga 0.000 0.690 0.379
Ga 0.500 0.187 0.373
Ga 0.000 0.310 0.621
Pd 0.500 0.600 0.200
Pd 0.500 0.400 0.800

Properties
Space group: No. 65
Total magnetic moment, Bohr magnetons per cell: 0.000
Density of states at the Fermi level, states/eV/f.u.: 3.3

Model b:
Here is crystalline AcGa4Pd2 at its relaxed geometry from Alexandria. Energies are from PBE-GGA.

Unit cell a=4.371 b=7.164 c=17.638 alpha=90.00 beta=90.00 gamma=90.00
Atoms (fractional coordinates):
Ac 0.750 0.985 0.620
Ac 0.250 0.015 0.380
Ac 0.250 0.485 0.880
Ac 0.750 0.515 0.120
Pd 0.250 0.673 0.537
Pd 0.750 0.327 0.463
Pd 0.750 0.173 0.963
Pd 0.250 0.827 0.037
Pd 0.250 0.956 0.768
Pd 0.750 0.044 0.232
Pd 0.750 0.456 0.732
Pd 0.250 0.544 0.268
Ga 0.250 0.272 0.699
Ga 0.750 0.728 0.301
Ga 0.750 0.772 0.801
Ga 0.250 0.228 0.199
Ga 0.250 0.655 0.687
Ga 0.750 0.345 0.313
Ga 0.750 0.155 0.813
Ga 0.250 0.845 0.187
Ga 0.250 0.271 0.542
Ga 0.750 0.729 0.458
Ga 0.750 0.771 0.958
Ga 0.250 0.229 0.042
Ga 0.250 0.498 0.408
Ga 0.750 0.502 0.592
Ga 0.750 0.998 0.092
Ga 0.250 0.002 0.908

Properties
Space group: No. 62
Total magnetic moment, Bohr magnetons per cell: 0.000
Density of states at the Fermi level, states/eV/f.u.: 3.0

Q: Which of them is the least stable? A: model a.

Model a:
Here is crystalline AcGa3Pd2 at its relaxed geometry from Alexandria. Energies are from PBE-GGA.

Unit cell a=5.619 b=5.619 c=8.601 alpha=90.00 beta=90.00 gamma=120.00
Atoms (fractional coordinates):
Ac 0.000 0.000 0.500
Ac 0.000 0.000 0.000
Ga 0.500 0.000 0.250
Ga 0.000 0.500 0.750
Ga 0.500 0.000 0.750
Ga 0.500 0.500 0.250
Ga 0.000 0.500 0.250
Ga 0.500 0.500 0.750
Pd 0.667 0.333 0.500
Pd 0.333 0.667 0.000
Pd 0.333 0.667 0.500
Pd 0.667 0.333 0.000

Properties
Space group: No. 191
Total magnetic moment, Bohr magnetons per cell: 0.000
Density of states at the Fermi level, states/eV/f.u.: 3.6

Model b:
Here is crystalline AcGa3Pd2 at its relaxed geometry from Alexandria. Energies are from PBE-GGA.

Unit cell a=5.636 b=6.584 c=6.584 alpha=101.97 beta=90.00 gamma=90.00
Atoms (fractional coordinates):
Ac 0.250 0.334 0.334
Ac 0.750 0.666 0.666
Ga 0.750 0.463 0.104
Ga 0.750 0.104 0.463
Ga 0.250 0.537 0.896
Ga 0.750 0.065 0.065
Ga 0.250 0.935 0.935
Ga 0.250 0.896 0.537
Pd 0.500 0.791 0.209
Pd 0.000 0.791 0.209
Pd 0.000 0.209 0.791
Pd 0.500 0.209 0.791

Properties
Space group: No. 63
Total magnetic moment, Bohr magnetons per cell: 0.000
Density of states at the Fermi level, states/eV/f.u.: 3.0

Q: Which of them is the least stable? A: model b.

Model a:
Here is crystalline AcGa3Pd at its relaxed geometry from Alexandria. Energies are from PBE-GGA.

Unit cell a=4.471 b=4.471 c=6.218 alpha=111.07 beta=111.07 gamma=90.00
Atoms (fractional coordinates):
Ac 0.009 0.009 0.017
Ga 0.263 0.763 0.526
Ga 0.763 0.263 0.526
Ga 0.409 0.409 0.818
Pd 0.646 0.646 0.293

Properties
Space group: No. 107
Total magnetic moment, Bohr magnetons per cell: 0.000
Density of states at the Fermi level, states/eV/f.u.: 2.4

Model b:
Here is crystalline AcGa3Pd at its relaxed geometry from Alexandria. Energies are from PBE-GGA.

Unit cell a=5.953 b=6.452 c=6.452 alpha=120.00 beta=90.00 gamma=90.00
Atoms (fractional coordinates):
Ac 0.750 0.667 0.333
Ac 0.250 0.333 0.667
Ga 0.750 0.617 0.809
Ga 0.250 0.808 0.617
Ga 0.250 0.383 0.192
Ga 0.750 0.192 0.383
Ga 0.250 0.808 0.191
Ga 0.750 0.192 0.809
Pd 0.000 0.000 0.000
Pd 0.500 0.000 0.000

Properties
Space group: No. 194
Total magnetic moment, Bohr magnetons per cell: 0.000
Density of states at the Fermi level, states/eV/f.u.: 3.6

Q: Which of them is the least stable? A: model b.

Model a:
Here is crystalline AcGaPd4 at its relaxed geometry from Alexandria. Energies are from PBE-GGA.

Unit cell a=4.080 b=7.212 c=7.847 alpha=90.00 beta=90.00 gamma=90.00
Atoms (fractional coordinates):
Ac 0.000 0.645 0.750
Ac 0.000 0.355 0.250
Ga 0.000 0.205 0.750
Ga 0.000 0.795 0.250
Pd 0.000 0.000 0.500
Pd 0.000 0.000 0.000
Pd 0.500 0.961 0.750
Pd 0.500 0.039 0.250
Pd 0.500 0.700 0.057
Pd 0.500 0.300 0.943
Pd 0.500 0.700 0.443
Pd 0.500 0.300 0.557

Properties
Space group: No. 51
Total magnetic moment, Bohr magnetons per cell: 0.000
Density of states at the Fermi level, states/eV/f.u.: 2.3

Model b:
Here is crystalline AcGaPd4 at its relaxed geometry from Alexandria. Energies are from PBE-GGA.

Unit cell a=5.484 b=5.484 c=5.484 alpha=60.00 beta=60.00 gamma=60.00
Atoms (fractional coordinates):
Ac 0.250 0.250 0.250
Ga 0.000 0.000 0.000
Pd 0.626 0.626 0.122
Pd 0.626 0.122 0.626
Pd 0.626 0.626 0.626
Pd 0.122 0.626 0.626

Properties
Space group: No. 216
Total magnetic moment, Bohr magnetons per cell: 0.000
Density of states at the Fermi level, states/eV/f.u.: 3.4

Model c:
Here is crystalline AcGaPd4 at its relaxed geometry from Alexandria. Energies are from PBE-GGA.

Unit cell a=6.341 b=6.662 c=6.341 alpha=75.50 beta=69.03 gamma=75.50
Atoms (fractional coordinates):
Ac 0.166 0.220 0.166
Ac 0.834 0.780 0.834
Ga 0.418 0.753 0.418
Ga 0.582 0.247 0.582
Pd 0.176 0.766 0.176
Pd 0.816 0.559 0.423
Pd 0.713 0.000 0.287
Pd 0.577 0.441 0.184
Pd 0.824 0.234 0.824
Pd 0.184 0.441 0.577
Pd 0.287 0.000 0.713
Pd 0.423 0.559 0.816

Properties
Space group: No. 12
Total magnetic moment, Bohr magnetons per cell: 0.000
Density of states at the Fermi level, states/eV/f.u.: 2.9

Q: Which of them is the least stable? A: model b.

Model a:
Here is crystalline Ac2Ga4Pd5 at its relaxed geometry from Alexandria. Energies are from PBE-GGA.

Unit cell a=5.673 b=7.161 c=6.769 alpha=76.92 beta=65.23 gamma=66.67
Atoms (fractional coordinates):
Ac 0.301 0.763 0.636
Ac 0.699 0.237 0.364
Ga 0.363 0.080 0.193
Ga 0.637 0.920 0.807
Ga 0.774 0.543 0.909
Ga 0.226 0.457 0.091
Pd 0.211 0.231 0.835
Pd 0.789 0.769 0.165
Pd 0.000 0.500 0.500
Pd 0.723 0.231 0.835
Pd 0.277 0.769 0.165

Properties
Space group: No. 12
Total magnetic moment, Bohr magnetons per cell: 0.000
Density of states at the Fermi level, states/eV/f.u.: 4.3

Model b:
Here is crystalline Ac2Ga4Pd5 at its relaxed geometry from Alexandria. Energies are from PBE-GGA.

Unit cell a=5.832 b=5.781 c=8.300 alpha=79.79 beta=69.43 gamma=59.71
Atoms (fractional coordinates):
Ac 0.865 0.000 0.271
Ac 0.135 0.000 0.729
Ga 0.469 0.317 0.744
Ga 0.531 0.683 0.256
Ga 0.213 0.317 0.256
Ga 0.787 0.683 0.744
Pd 0.500 0.000 0.000
Pd 0.000 0.500 0.000
Pd 0.500 0.500 0.000
Pd 0.250 0.500 0.500
Pd 0.750 0.500 0.500

Properties
Space group: No. 69
Total magnetic moment, Bohr magnetons per cell: 0.000
Density of states at the Fermi level, states/eV/f.u.: 6.3

Q: Which of them is the least stable? A: model a.